VASP calculation (PBE-GGA) on crystalline Tb2MnAl2Co5 at its relaxed geometry.

Unit cell a=9.6185 b=9.6185 c=3.2452 alpha=90.00 beta=90.00 gamma=90.00
Space group P4/mbm (No. 127)
Symmetry-distinct sites (fractional):
Tb (0.1748, 0.3252, 0.0000) [4 per cell]
Mn (0.0000, 0.0000, 0.0000) [2 per cell]
Al (0.1240, 0.6240, 0.0000) [4 per cell]
Co (0.0000, 0.5000, 0.5000) [2 per cell]
Co (0.0587, 0.8011, 0.5000) [8 per cell]

Output
Electronic total energy: -6.248 eV/atom
Formation energy from the elements: -0.103 eV/atom

***

VASP calculation (PBE-GGA) on crystalline ZrScNb at its relaxed geometry.

Unit cell a=3.2866 b=3.2866 c=25.9520 alpha=90.00 beta=90.00 gamma=90.00
Space group I4/mmm (No. 139)
Symmetry-distinct sites (fractional):
Zr (0.0000, 0.0000, 0.1467) [4 per cell]
Sc (0.0000, 0.0000, 0.4364) [4 per cell]
Nb (0.0000, 0.0000, 0.2788) [4 per cell]

Output
Energy above the lowest structure with this stoichiometry: 0.0485 eV/atom
Electronic total energy: -8.157 eV/atom
Formation energy from the elements: 0.159 eV/atom

***

VASP calculation (PBE-GGA) on crystalline PaPtRh3 at its relaxed geometry.

Unit cell a=4.8892 b=5.5244 c=13.2427 alpha=90.00 beta=108.38 gamma=90.00
Space group P2_1/c (No. 14)
Symmetry-distinct sites (fractional):
Pa (0.0389, 0.0427, 0.3574) [4 per cell]
Pt (0.2208, 0.5433, 0.3681) [4 per cell]
Rh (0.2150, 0.1752, 0.0568) [4 per cell]
Rh (0.3834, 0.6657, 0.0578) [4 per cell]
Rh (0.4348, 0.6133, 0.7535) [4 per cell]

Output
Energy above the lowest structure with this stoichiometry: 0.0000 eV/atom
Electronic total energy: -8.150 eV/atom
Formation energy from the elements: -0.632 eV/atom

***

VASP calculation (PBE-GGA) on crystalline Sm2B5Pt3 at its relaxed geometry.

Unit cell a=3.9381 b=5.7303 c=7.2111 alpha=84.73 beta=74.22 gamma=69.94
Space group P1 (No. 1)
Symmetry-distinct sites (fractional):
Sm (0.0000, 0.0000, 0.0000) [1 per cell]
Sm (0.3521, 0.8390, 0.4549) [1 per cell]
B (0.1129, 0.3802, 0.5231) [1 per cell]
B (0.3700, 0.4603, 0.9301) [1 per cell]
B (0.5441, 0.3174, 0.3389) [1 per cell]
B (0.5523, 0.5249, 0.1147) [1 per cell]
B (0.6933, 0.9200, 0.7272) [1 per cell]
Pt (0.0497, 0.4202, 0.2266) [1 per cell]
Pt (0.5995, 0.2654, 0.6490) [1 per cell]
Pt (0.8679, 0.5743, 0.8044) [1 per cell]

Output
Electronic total energy: -6.451 eV/atom
Formation energy from the elements: -0.356 eV/atom

***

VASP calculation (PBE-GGA) on crystalline Sm5Os2Pt at its relaxed geometry.

Unit cell a=7.6134 b=7.6134 c=14.0867 alpha=90.00 beta=90.00 gamma=90.00
Space group I4/mcm (No. 140)
Symmetry-distinct sites (fractional):
Sm (0.0000, 0.0000, 0.0000) [4 per cell]
Sm (0.1774, 0.3226, 0.1400) [16 per cell]
Os (0.1181, 0.3819, 0.5000) [8 per cell]
Pt (0.0000, 0.0000, 0.2500) [4 per cell]

Output
Electronic total energy: -6.912 eV/atom
Formation energy from the elements: -0.400 eV/atom

***

VASP calculation (PBE-GGA) on crystalline GaBTe2 at its relaxed geometry.

Unit cell a=3.4337 b=3.4337 c=27.5021 alpha=90.00 beta=90.00 gamma=120.00
Space group R-3m (No. 166, hexagonal axes)
Symmetry-distinct sites (fractional):
Ga (0.0000, 0.0000, 0.0000) [3 per cell]
B (0.0000, 0.0000, 0.5000) [3 per cell]
Te (0.0000, 0.0000, 0.1126) [6 per cell]

Output
Energy above the lowest structure with this stoichiometry: 0.3403 eV/atom
Formation energy without anion corrections: 0.590 eV per atom
Electronic total energy: -3.407 eV/atom

***

VASP calculation (PBE-GGA) on crystalline EuGd2Ga at its relaxed geometry.

Unit cell a=5.0412 b=5.0412 c=16.5038 alpha=90.00 beta=90.00 gamma=120.00
Space group R-3m (No. 166, hexagonal axes)
Symmetry-distinct sites (fractional):
Eu (0.0000, 0.0000, 0.0000) [3 per cell]
Gd (0.0000, 0.0000, 0.2251) [6 per cell]
Ga (0.0000, 0.0000, 0.5000) [3 per cell]

Output
Energy above the lowest structure with this stoichiometry: 0.1118 eV/atom
Electronic total energy: -10.452 eV/atom
Formation energy from the elements: -0.087 eV/atom

***

VASP calculation (PBE-GGA) on crystalline TaMo at its relaxed geometry.

Unit cell a=5.3374 b=5.3374 c=5.3374 alpha=90.00 beta=90.00 gamma=90.00
Space group Fm-3m (No. 225)
Symmetry-distinct sites (fractional):
Ta (0.0000, 0.0000, 0.0000) [4 per cell]
Mo (0.0000, 0.0000, 0.5000) [4 per cell]

Output
Electronic total energy: -10.350 eV/atom
Formation energy from the elements: 0.992 eV/atom

***

VASP calculation (PBE-GGA) on crystalline LaYPd2Cl at its relaxed geometry.

Unit cell a=5.1915 b=5.1915 c=5.0523 alpha=90.00 beta=90.00 gamma=90.00
Space group P4/mmm (No. 123)
Symmetry-distinct sites (fractional):
La (0.0000, 0.0000, 0.0000) [1 per cell]
Y (0.5000, 0.5000, 0.5000) [1 per cell]
Pd (0.0000, 0.5000, 0.5000) [2 per cell]
Cl (0.5000, 0.5000, 0.0000) [1 per cell]

Output
Formation energy without anion corrections: -0.600 eV per atom
Electronic total energy: -5.325 eV/atom

***

VASP calculation (PBE-GGA) on crystalline Mn2BiHRh at its relaxed geometry.

Unit cell a=5.0064 b=5.0064 c=5.0160 alpha=90.00 beta=90.00 gamma=90.00
Space group P4/mmm (No. 123)
Symmetry-distinct sites (fractional):
Mn (0.0000, 0.5000, 0.0000) [2 per cell]
Bi (0.0000, 0.0000, 0.5000) [1 per cell]
H (0.5000, 0.5000, 0.5000) [1 per cell]
Rh (0.0000, 0.0000, 0.0000) [1 per cell]

Output
Electronic total energy: -5.601 eV/atom

***

VASP calculation (PBE-GGA) on crystalline U2Be2NbRu5 at its relaxed geometry.

Unit cell a=9.7356 b=9.7356 c=3.1911 alpha=90.00 beta=90.00 gamma=90.00
Space group P4/mbm (No. 127)
Symmetry-distinct sites (fractional):
U (0.1747, 0.3253, 0.0000) [4 per cell]
Be (0.1208, 0.6208, 0.0000) [4 per cell]
Nb (0.0000, 0.0000, 0.0000) [2 per cell]
Ru (0.0000, 0.5000, 0.5000) [2 per cell]
Ru (0.0731, 0.7877, 0.5000) [8 per cell]

Output
Electronic total energy: -9.024 eV/atom
Formation energy from the elements: -0.376 eV/atom

***

VASP calculation (PBE-GGA) on crystalline PaAu4 at its relaxed geometry.

Unit cell a=5.4268 b=5.4268 c=5.4268 alpha=90.00 beta=90.00 gamma=90.00
Space group Pm-3m (No. 221)
Symmetry-distinct sites (fractional):
Pa (0.0000, 0.0000, 0.0000) [1 per cell]
Au (0.0000, 0.0000, 0.5000) [3 per cell]
Au (0.5000, 0.5000, 0.5000) [1 per cell]

Output
Electronic total energy: -3.563 eV/atom
Formation energy from the elements: 0.958 eV/atom

***

VASP calculation (PBE-GGA) on crystalline Rb5TaCl2O4 at its relaxed geometry.

Unit cell a=8.8117 b=10.8227 c=6.9494 alpha=90.00 beta=90.00 gamma=90.00
Space group Amm2 (No. 38)
Symmetry-distinct sites (fractional):
Rb (0.0000, 0.0000, 0.0000) [2 per cell]
Rb (0.2923, 0.1800, 0.4012) [8 per cell]
Ta (0.5000, 0.0000, 0.9168) [2 per cell]
Cl (0.0000, 0.2028, 0.6672) [4 per cell]
O (0.3289, 0.0000, 0.0794) [4 per cell]
O (0.5000, 0.1416, 0.7589) [4 per cell]

Output
Formation energy without anion corrections: -2.091 eV per atom
Electronic total energy: -5.443 eV/atom

***

VASP calculation (PBE-GGA) on crystalline Mg12Cd6In at its relaxed geometry.

Unit cell a=13.6850 b=13.6850 c=7.7600 alpha=90.00 beta=90.00 gamma=120.00
Space group R-3 (No. 148, hexagonal axes)
Symmetry-distinct sites (fractional):
Mg (0.0136, 0.8741, 0.1652) [18 per cell]
Mg (0.0679, 0.5051, 0.1683) [18 per cell]
Cd (0.0314, 0.7546, 0.8313) [18 per cell]
In (0.0000, 0.0000, 0.5000) [3 per cell]

Output
Energy above the lowest structure with this stoichiometry: 0.0000 eV/atom
Electronic total energy: -1.515 eV/atom
Formation energy from the elements: -0.075 eV/atom

***

VASP calculation (PBE-GGA) on crystalline Nd2AgPd at its relaxed geometry.

Unit cell a=4.2359 b=4.2359 c=21.9645 alpha=90.00 beta=90.00 gamma=120.00
Space group R3m (No. 160, hexagonal axes)
Symmetry-distinct sites (fractional):
Nd (0.0000, 0.0000, 0.0000) [3 per cell]
Nd (0.0000, 0.0000, 0.1857) [3 per cell]
Ag (0.0000, 0.0000, 0.7581) [3 per cell]
Pd (0.0000, 0.0000, 0.5943) [3 per cell]

Output
Electronic total energy: -4.789 eV/atom
Formation energy from the elements: -0.394 eV/atom

***

VASP calculation (PBE-GGA) on crystalline HfNb6Mo2 at its relaxed geometry.

Unit cell a=4.5373 b=4.5373 c=8.4811 alpha=90.00 beta=90.00 gamma=90.00
Space group P4/mmm (No. 123)
Symmetry-distinct sites (fractional):
Hf (0.0000, 0.0000, 0.0000) [1 per cell]
Nb (0.0000, 0.0000, 0.5000) [1 per cell]
Nb (0.0000, 0.5000, 0.2993) [4 per cell]
Nb (0.5000, 0.5000, 0.5000) [1 per cell]
Mo (0.5000, 0.5000, 0.1407) [2 per cell]

Output
Energy above the lowest structure with this stoichiometry: 0.4010 eV/atom
Electronic total energy: -9.897 eV/atom
Formation energy from the elements: 0.329 eV/atom

***

VASP calculation (PBE-GGA) on crystalline CeSb12Os4 at its relaxed geometry.

Unit cell a=9.4044 b=9.4044 c=9.4044 alpha=90.00 beta=90.00 gamma=90.00
Space group Im-3 (No. 204)
Symmetry-distinct sites (fractional):
Ce (0.0000, 0.0000, 0.0000) [2 per cell]
Sb (0.0000, 0.1569, 0.3387) [24 per cell]
Os (0.2500, 0.2500, 0.2500) [8 per cell]

Output
Formation energy without anion corrections: -0.178 eV per atom
Electronic total energy: -6.080 eV/atom

***

VASP calculation (PBE-GGA) on crystalline Tl3HgO at its relaxed geometry.

Unit cell a=9.8766 b=3.5804 c=15.1890 alpha=90.00 beta=90.00 gamma=90.00
Space group Pnma (No. 62)
Symmetry-distinct sites (fractional):
Tl (0.0339, 0.2500, 0.1054) [4 per cell]
Tl (0.1956, 0.2500, 0.4952) [4 per cell]
Tl (0.2487, 0.7500, 0.2933) [4 per cell]
Hg (0.0401, 0.7500, 0.6650) [4 per cell]
O (0.1345, 0.2500, 0.9449) [4 per cell]

Output
Energy above the lowest structure with this stoichiometry: 0.0000 eV/atom
Formation energy without anion corrections: -0.325 eV per atom
Electronic total energy: -2.797 eV/atom

***

VASP calculation (PBE-GGA) on crystalline TmTh2Sc at its relaxed geometry.

Unit cell a=3.4965 b=3.4965 c=33.7519 alpha=90.00 beta=90.00 gamma=120.00
Space group R3m (No. 160, hexagonal axes)
Symmetry-distinct sites (fractional):
Tm (0.0000, 0.0000, 0.0000) [3 per cell]
Th (0.0000, 0.0000, 0.2461) [3 per cell]
Th (0.0000, 0.0000, 0.4168) [3 per cell]
Sc (0.0000, 0.0000, 0.8297) [3 per cell]

Output
Energy above the lowest structure with this stoichiometry: 0.0201 eV/atom
Electronic total energy: -6.359 eV/atom
Formation energy from the elements: 0.051 eV/atom

***

VASP calculation (PBE-GGA) on crystalline YTl2 at its relaxed geometry.

Unit cell a=4.0136 b=5.9308 c=14.6333 alpha=90.00 beta=90.00 gamma=90.00
Space group Fmmm (No. 69)
Symmetry-distinct sites (fractional):
Y (0.0000, 0.0000, 0.0000) [4 per cell]
Tl (0.0000, 0.0000, 0.3312) [8 per cell]

Output
Electronic total energy: -3.839 eV/atom
Formation energy from the elements: -0.107 eV/atom

***

VASP calculation (PBE-GGA) on crystalline RbPbN at its relaxed geometry.

Unit cell a=3.9871 b=4.1181 c=11.3577 alpha=79.91 beta=79.93 gamma=87.34
Space group P-1 (No. 2)
Symmetry-distinct sites (fractional):
Rb (0.0986, 0.1028, 0.3165) [2 per cell]
Pb (0.2832, 0.2830, 0.9263) [2 per cell]
N (0.3989, 0.4002, 0.5250) [2 per cell]

Output
Energy above the lowest structure with this stoichiometry: 0.0000 eV/atom
Formation energy without anion corrections: -0.089 eV per atom
Electronic total energy: -4.423 eV/atom

***

VASP calculation (PBE-GGA) on crystalline Pb4SeCl6 at its relaxed geometry.

Unit cell a=9.9441 b=9.9441 c=7.0627 alpha=90.00 beta=90.00 gamma=90.00
Space group P4_2/nmc (No. 137, origin choice 2)
Symmetry-distinct sites (fractional):
Pb (0.0071, 0.2500, 0.0406) [8 per cell]
Se (0.2500, 0.7500, 0.7500) [2 per cell]
Cl (0.0392, 0.5392, 0.2500) [8 per cell]
Cl (0.2500, 0.2500, 0.2870) [4 per cell]

Output
Formation energy without anion corrections: -1.016 eV per atom
Electronic total energy: -3.688 eV/atom